Na2Sm2PaSe6: optimized geometry, PBE.

Values from the calculation:
crystal system	monoclinic
ΔE_f (raw)	-1592	meV per atom

abc: 7.325 12.589 7.458
angles: 90.00 109.09 90.00
Space group C2/m (No. 12)
Inequivalent atoms, fractional coordinates:
Na 0.000 0.169 0.000 [4 per cell]
Sm 0.000 0.334 0.500 [4 per cell]
Pa 0.000 0.000 0.500 [2 per cell]
Se 0.238 0.164 0.729 [8 per cell]
Se 0.246 0.000 0.272 [4 per cell]

---

Na3PaSn2Se6: optimized geometry, PBE.

Values from the calculation:
crystal system	monoclinic
ΔE_f (raw)	-1043	meV per atom

abc: 7.443 12.903 7.270
angles: 90.00 110.11 90.00
Space group C2/m (No. 12)
Inequivalent atoms, fractional coordinates:
Na 0.000 0.000 0.000 [2 per cell]
Na 0.000 0.326 0.000 [4 per cell]
Pa 0.000 0.500 0.500 [2 per cell]
Sn 0.000 0.165 0.500 [4 per cell]
Se 0.233 0.344 0.732 [8 per cell]
Se 0.235 0.500 0.271 [4 per cell]

---

Na2PaSnSe4: optimized geometry, PBE.

Values from the calculation:
crystal system	monoclinic
ΔE_f (raw)	-1092	meV per atom

abc: 7.306 4.223 7.514
angles: 90.00 108.98 90.00
Space group P2/m (No. 10)
Inequivalent atoms, fractional coordinates:
Na 0.000 0.000 0.000 [1 per cell]
Na 0.000 0.500 0.500 [1 per cell]
Pa 0.500 0.000 0.500 [1 per cell]
Sn 0.500 0.500 0.000 [1 per cell]
Se 0.268 0.000 0.738 [2 per cell]
Se 0.270 0.500 0.266 [2 per cell]

---

Na3Sr2PaSe6: optimized geometry, PBE.

Values from the calculation:
crystal system	monoclinic
ΔE_f (raw)	-1574	meV per atom

abc: 7.552 13.084 7.391
angles: 90.00 110.22 90.00
Space group C2/m (No. 12)
Inequivalent atoms, fractional coordinates:
Na 0.000 0.000 0.000 [2 per cell]
Na 0.000 0.333 0.000 [4 per cell]
Sr 0.000 0.167 0.500 [4 per cell]
Pa 0.000 0.500 0.500 [2 per cell]
Se 0.225 0.500 0.269 [4 per cell]
Se 0.231 0.348 0.737 [8 per cell]

---

Na2Sr3PaSe6: optimized geometry, PBE.

Values from the calculation:
crystal system	monoclinic
ΔE_f (raw)	-1681	meV per atom

abc: 7.574 13.096 7.469
angles: 90.00 109.74 90.00
Space group C2/m (No. 12)
Inequivalent atoms, fractional coordinates:
Na 0.000 0.165 0.000 [4 per cell]
Sr 0.000 0.000 0.500 [2 per cell]
Sr 0.000 0.329 0.500 [4 per cell]
Pa 0.000 0.500 0.000 [2 per cell]
Se 0.234 0.500 0.764 [4 per cell]
Se 0.237 0.342 0.238 [8 per cell]

---

Na2SrPaSe4: optimized geometry, PBE.

Values from the calculation:
crystal system	tetragonal
ΔE_f (raw)	-1463	meV per atom

abc: 5.961 5.961 12.685
angles: 90.00 90.00 90.00
Space group I-4m2 (No. 119)
Inequivalent atoms, fractional coordinates:
Na 0.000 0.000 0.000 [2 per cell]
Na 0.000 0.500 0.250 [2 per cell]
Sr 0.000 0.500 0.750 [2 per cell]
Pa 0.000 0.000 0.500 [2 per cell]
Se 0.000 0.000 0.279 [4 per cell]
Se 0.000 0.500 0.502 [4 per cell]

---

Na2TbPa2Se6: optimized geometry, PBE.

Values from the calculation:
crystal system	monoclinic
ΔE_f (raw)	-1437	meV per atom

abc: 7.175 12.348 7.503
angles: 90.00 108.03 90.00
Space group C2/m (No. 12)
Inequivalent atoms, fractional coordinates:
Na 0.000 0.166 0.000 [4 per cell]
Tb 0.000 0.000 0.500 [2 per cell]
Pa 0.000 0.338 0.500 [4 per cell]
Se 0.241 0.169 0.727 [8 per cell]
Se 0.246 0.500 0.734 [4 per cell]

---

NaTb2PaSe4: optimized geometry, PBE.

Values from the calculation:
crystal system	monoclinic
ΔE_f (raw)	-1553	meV per atom

abc: 7.089 4.051 7.212
angles: 90.00 108.67 90.00
Space group P2/m (No. 10)
Inequivalent atoms, fractional coordinates:
Na 0.000 0.000 0.000 [1 per cell]
Tb 0.500 0.000 0.500 [1 per cell]
Tb 0.500 0.500 0.000 [1 per cell]
Pa 0.000 0.500 0.500 [1 per cell]
Se 0.250 0.000 0.753 [2 per cell]
Se 0.252 0.500 0.252 [2 per cell]

---

Na3Tb3PaSe8: optimized geometry, PBE.

Values from the calculation:
crystal system	trigonal
ΔE_f (raw)	-1627	meV per atom

abc: 8.3377 8.3377 21.1228
angles: 90.00 90.00 120.00
Space group R-3m (No. 166, hexagonal axes)
Inequivalent atoms, fractional coordinates:
Na 0.0000 0.5000 0.0000 [9 per cell]
Tb 0.0000 0.5000 0.5000 [9 per cell]
Pa 0.0000 0.0000 0.5000 [3 per cell]
Se 0.0000 0.0000 0.2434 [6 per cell]
Se 0.0023 0.5011 0.2420 [18 per cell]

---

NaTb2PaSe5: optimized geometry, PBE.

Values from the calculation:
crystal system	orthorhombic
ΔE_f (raw)	-1368	meV per atom

abc: 5.286 7.347 14.206
angles: 90.00 90.00 90.00
Space group Immm (No. 71)
Inequivalent atoms, fractional coordinates:
Na 0.000 0.000 0.000 [2 per cell]
Tb 0.000 0.500 0.201 [4 per cell]
Pa 0.000 0.000 0.500 [2 per cell]
Se 0.000 0.243 0.347 [8 per cell]
Se 0.000 0.500 0.000 [2 per cell]

---

NaTb2PaSe6: optimized geometry, PBE.

Values from the calculation:
crystal system	trigonal
ΔE_f (raw)	-1575	meV per atom

abc: 7.2556 7.2556 19.6511
angles: 90.00 90.00 120.00
Space group R3 (No. 146, hexagonal axes)
Inequivalent atoms, fractional coordinates:
Na 0.0000 0.0000 0.0000 [3 per cell]
Tb 0.0000 0.0000 0.2001 [3 per cell]
Tb 0.0000 0.0000 0.7119 [3 per cell]
Pa 0.0000 0.0000 0.5182 [3 per cell]
Se 0.0061 0.3560 0.7773 [9 per cell]
Se 0.0553 0.6970 0.2762 [9 per cell]

---

Na3Pa3TeSe8: optimized geometry, PBE.

Values from the calculation:
crystal system	monoclinic
ΔE_f (raw)	-1027	meV per atom

abc: 14.072 8.757 8.341
angles: 90.00 123.89 90.00
Space group C2/m (No. 12)
Inequivalent atoms, fractional coordinates:
Na 0.000 0.000 0.000 [2 per cell]
Na 0.250 0.250 0.000 [4 per cell]
Pa 0.000 0.500 0.500 [2 per cell]
Pa 0.250 0.250 0.500 [4 per cell]
Te 0.000 0.000 0.500 [2 per cell]
Se 0.014 0.296 0.248 [8 per cell]
Se 0.243 0.000 0.723 [4 per cell]
Se 0.249 0.500 0.736 [4 per cell]

---

Question: Which formula does entry 5 have?
Answer: Na2Sr3PaSe6

---

Copy entry 11 word for word.
NaTb2PaSe6: optimized geometry, PBE.

Values from the calculation:
crystal system	trigonal
ΔE_f (raw)	-1575	meV per atom

abc: 7.2556 7.2556 19.6511
angles: 90.00 90.00 120.00
Space group R3 (No. 146, hexagonal axes)
Inequivalent atoms, fractional coordinates:
Na 0.0000 0.0000 0.0000 [3 per cell]
Tb 0.0000 0.0000 0.2001 [3 per cell]
Tb 0.0000 0.0000 0.7119 [3 per cell]
Pa 0.0000 0.0000 0.5182 [3 per cell]
Se 0.0061 0.3560 0.7773 [9 per cell]
Se 0.0553 0.6970 0.2762 [9 per cell]